[1]
Here is crystalline AcHoMo2O8 at its relaxed geometry from Alexandria via LeMat-Bulk. Energies are from GGA+U.

## Properties
**Total magnetization**: 2.0 μB/cell
**V**: 169.1 Å³/cell
**Space group**: I-4
**ρ**: 6.99 Mg/m³

POSCAR file:
```
AcHoMo2O8
1.0
-1.384 2.415 -4.628
-0.997 -4.822 -2.218
-4.312 1.510 5.229
Ho O Mo Ac
1 8 2 1
Direct
0.000 0.000 0.000
0.158 0.606 0.834
0.317 0.899 0.327
0.677 0.228 0.834
0.571 0.683 0.673
0.772 0.842 0.166
0.394 0.323 0.166
0.101 0.990 0.673
0.010 0.429 0.327
0.250 0.750 0.500
0.500 0.500 0.000
0.750 0.250 0.500
```



[2]
Here is crystalline Ac2HoMoO6 at its relaxed geometry from Alexandria via LeMat-Bulk. Energies are from GGA+U.

## Properties
**Total magnetization**: 6.0 μB/cell
**V**: 306.9 Å³/cell
**Space group**: P2_1/c
**ρ**: 8.77 Mg/m³

POSCAR file:
```
Ac2HoMoO6
1.0
-1.733 -2.845 -4.918
5.441 -2.730 -0.338
-2.905 -6.378 4.765
O Ac Mo Ho
12 4 2 2
Direct
0.397 0.960 0.746
0.603 0.040 0.254
0.897 0.540 0.246
0.793 0.799 0.555
0.803 0.793 0.946
0.697 0.293 0.554
0.303 0.707 0.446
0.707 0.299 0.945
0.197 0.207 0.054
0.293 0.701 0.055
0.207 0.201 0.445
0.103 0.460 0.754
0.012 0.952 0.249
0.512 0.548 0.749
0.988 0.048 0.751
0.488 0.452 0.251
0.000 0.500 0.000
0.500 0.000 0.500
0.500 0.000 0.000
0.000 0.500 0.500
```



[3]
Here is crystalline AcHo2MoO8 at its relaxed geometry from Alexandria via LeMat-Bulk. Energies are from GGA+U.

## Properties
**Total magnetization**: 0.5 μB/cell
**V**: 181.1 Å³/cell
**Space group**: Cmmm
**ρ**: 7.16 Mg/m³

POSCAR file:
```
AcHo2MoO8
1.0
-4.914 0.809 0.754
-0.896 -4.891 -0.802
0.855 -1.299 6.970
O Ho Ac Mo
8 2 1 1
Direct
0.278 0.278 0.000
0.186 0.813 0.199
0.814 0.187 0.199
0.186 0.813 0.801
0.722 0.722 0.000
0.814 0.187 0.801
0.330 0.329 0.500
0.670 0.671 0.500
0.500 0.500 0.767
0.500 0.500 0.233
0.000 0.000 0.500
0.000 0.000 0.000
```



no.,total DFT energy (no corrections) (eV per atom)
1,-7.633
2,-7.990
3,-7.676